Record 1
Here is a relaxed TiAsPbBr2 crystal from Alexandria via LeMat-Bulk. Energies are from GGA-PBE.

a = 5.083 Å, b = 5.083 Å, c = 5.221 Å
α = 90.00°, β = 90.00°, γ = 90.00°
Fractional positions:
Pb (0.500, 0.500, 0.500)
As (0.000, 0.000, 0.500)
Br (0.000, 0.500, 0.000)
Br (0.500, 0.000, 0.000)
Ti (0.000, 0.000, 0.000)

Properties
spin magnetization	0.96	μB/f.u.
crystal system	tetragonal
ΔE to the lowest computed polymorph	0.0000	eV/atom
uncorrected formation energy	-0.36	eV per atom
DOS at the Fermi energy	2.97	states/eV per cell
symmetry	No. 123

***

Record 2
Here is a relaxed TlAsPbBr2 crystal from Alexandria via LeMat-Bulk. Energies are from GGA-PBE.

a = 5.930 Å, b = 5.930 Å, c = 5.670 Å
α = 90.00°, β = 90.00°, γ = 90.00°
Fractional positions:
Pb (0.000, 0.000, 0.000)
Tl (0.500, 0.500, 0.500)
As (0.000, 0.000, 0.500)
Br (0.000, 0.500, 0.000)
Br (0.500, 0.000, 0.000)

Properties
spin magnetization	1.67	μB/f.u.
crystal system	tetragonal
ΔE to the lowest computed polymorph	0.0000	eV/atom
uncorrected formation energy	-0.14	eV per atom
DOS at the Fermi energy	2.93	states/eV per cell
symmetry	No. 123

***

Record 3
Here is a relaxed TlAsPb2Br8 crystal from Alexandria via LeMat-Bulk. Energies are from GGA-PBE.

a = 7.126 Å, b = 6.815 Å, c = 9.121 Å
α = 89.94°, β = 89.99°, γ = 88.86°
Fractional positions:
Tl (0.000, 0.000, 0.500)
As (0.000, 0.000, 0.000)
Pb (0.500, 0.500, 0.756)
Pb (0.500, 0.500, 0.244)
Br (0.150, 0.766, 0.207)
Br (0.689, 0.774, 0.000)
Br (0.849, 0.234, 0.206)
Br (0.850, 0.234, 0.793)
Br (0.311, 0.226, 0.000)
Br (0.151, 0.766, 0.794)
Br (0.630, 0.731, 0.500)
Br (0.370, 0.269, 0.500)

Properties
spin magnetization	0.00	μB/f.u.
crystal system	triclinic
uncorrected formation energy	-0.69	eV per atom
DOS at the Fermi energy	0.00	states/eV per cell
symmetry	No. 2

***

Record 4
Here is a relaxed VAs2PbBr crystal from Alexandria via LeMat-Bulk. Energies are from GGA-PBE.

a = 4.786 Å, b = 4.786 Å, c = 5.426 Å
α = 90.00°, β = 90.00°, γ = 90.00°
Fractional positions:
Pb (0.500, 0.500, 0.500)
As (0.000, 0.500, 0.000)
As (0.500, 0.000, 0.000)
Br (0.000, 0.000, 0.500)
V (0.000, 0.000, 0.000)

Properties
spin magnetization	0.94	μB/f.u.
crystal system	tetragonal
ΔE to the lowest computed polymorph	0.0000	eV/atom
uncorrected formation energy	0.01	eV per atom
DOS at the Fermi energy	3.10	states/eV per cell
symmetry	No. 123

***

Record 5
Here is a relaxed As2PbWBr crystal from Alexandria via LeMat-Bulk. Energies are from GGA-PBE.

a = 4.873 Å, b = 4.873 Å, c = 5.521 Å
α = 90.00°, β = 90.00°, γ = 90.00°
Fractional positions:
Pb (0.500, 0.500, 0.500)
As (0.000, 0.500, 0.000)
As (0.500, 0.000, 0.000)
Br (0.000, 0.000, 0.500)
W (0.000, 0.000, 0.000)

Properties
spin magnetization	0.34	μB/f.u.
crystal system	tetragonal
ΔE to the lowest computed polymorph	0.0000	eV/atom
uncorrected formation energy	0.36	eV per atom
DOS at the Fermi energy	2.84	states/eV per cell
symmetry	No. 123

***

Record 6
Here is a relaxed ZnAs2PbBr crystal from Alexandria via LeMat-Bulk. Energies are from GGA-PBE.

a = 5.618 Å, b = 5.618 Å, c = 5.811 Å
α = 90.00°, β = 90.00°, γ = 90.00°
Fractional positions:
Pb (0.000, 0.000, 0.000)
As (0.000, 0.500, 0.000)
As (0.500, 0.000, 0.000)
Zn (0.500, 0.500, 0.500)
Br (0.000, 0.000, 0.500)

Properties
spin magnetization	2.66	μB/f.u.
crystal system	tetragonal
ΔE to the lowest computed polymorph	0.5184	eV/atom
uncorrected formation energy	0.75	eV per atom
DOS at the Fermi energy	3.51	states/eV per cell
symmetry	No. 123